Entry 1:
DFT (PBE-GGA) results for crystalline La3EuCo at its relaxed geometry.

symmetry	Pm-3m, No. 221
energy relative to the elements	-30	meV/atom

Cell lengths 5.573, 5.573, 5.573 Å; angles 90.00, 90.00, 90.00 degrees
Positions (direct):
1 La 0.000 0.000 0.500
2 La 0.000 0.500 0.000
3 La 0.500 0.000 0.000
4 Eu 0.500 0.500 0.500
5 Co 0.000 0.000 0.000

=====

Entry 2:
DFT (PBE-GGA) results for crystalline LaEuCo at its relaxed geometry.

symmetry	P3m1, No. 156
energy relative to the elements	23	meV/atom

Cell lengths 4.006, 4.006, 6.565 Å; angles 90.00, 90.00, 120.00 degrees
Positions (direct):
1 La 0.000 0.000 0.000
2 Eu 0.333 0.667 0.530
3 Co 0.667 0.333 0.792

=====

Entry 3:
DFT (PBE-GGA) results for crystalline La2EuCo at its relaxed geometry.

symmetry	P4/mmm, No. 123
energy relative to the elements	27	meV/atom

Cell lengths 3.578, 3.578, 9.656 Å; angles 90.00, 90.00, 90.00 degrees
Positions (direct):
1 La 0.000 0.000 0.168
2 La 0.000 0.000 0.832
3 Eu 0.500 0.500 0.500
4 Co 0.500 0.500 0.000

=====

Entry 4:
DFT (PBE-GGA) results for crystalline LaEuCoNi at its relaxed geometry.

symmetry	F-43m, No. 216
energy relative to the elements	16	meV/atom

Cell lengths 4.944, 4.944, 4.944 Å; angles 60.00, 60.00, 60.00 degrees
Positions (direct):
1 La 0.000 0.000 0.000
2 Eu 0.500 0.500 0.500
3 Co 0.250 0.250 0.250
4 Ni 0.750 0.750 0.750

=====

Entry 5:
DFT (PBE-GGA) results for crystalline LiEu3Co at its relaxed geometry.

symmetry	Pm-3m, No. 221
energy relative to the elements	113	meV/atom

Cell lengths 5.501, 5.501, 5.501 Å; angles 90.00, 90.00, 90.00 degrees
Positions (direct):
1 Li 0.000 0.000 0.000
2 Eu 0.000 0.500 0.500
3 Eu 0.500 0.000 0.500
4 Eu 0.500 0.500 0.000
5 Co 0.500 0.500 0.500

=====

Entry 6:
DFT (PBE-GGA) results for crystalline LiEuCo4 at its relaxed geometry.

symmetry	F-43m, No. 216
energy relative to the elements	1071	meV/atom

Cell lengths 5.698, 5.698, 5.698 Å; angles 60.00, 60.00, 60.00 degrees
Positions (direct):
1 Li 0.000 0.000 0.000
2 Eu 0.750 0.750 0.750
3 Co 0.151 0.151 0.151
4 Co 0.151 0.151 0.547
5 Co 0.151 0.547 0.151
6 Co 0.547 0.151 0.151

=====

Entry 7:
DFT (PBE-GGA) results for crystalline LiEuLuCo at its relaxed geometry.

symmetry	F-43m, No. 216
energy relative to the elements	76	meV/atom

Cell lengths 4.895, 4.895, 4.895 Å; angles 60.00, 60.00, 60.00 degrees
Positions (direct):
1 Li 0.000 0.000 0.000
2 Eu 0.250 0.250 0.250
3 Lu 0.750 0.750 0.750
4 Co 0.500 0.500 0.500

=====

> energy relative to the elements of number 3 (La2EuCo)?

27 meV/atom

=====

> Which value of energy relative to the elements does entry 2 give?

23 meV/atom